VASP calculation (GGA-PBE) on KYAl after structural relaxation.

a b c (Å): 4.3243 5.3270 12.0449
angles (deg): 101.77 90.69 113.88
Space group P1 (No. 1)
Inequivalent atoms, fractional coordinates:
1 K 0.0000 0.0000 0.0000 [1 per cell]
2 K 0.2095 0.3750 0.7003 [1 per cell]
3 Y 0.4218 0.8118 0.4611 [1 per cell]
4 Y 0.7423 0.4662 0.2597 [1 per cell]
5 Al 0.0672 0.1104 0.3498 [1 per cell]
6 Al 0.4301 0.8455 0.2157 [1 per cell]

## Properties
- Size of the total moment: 0.00 μB/cell
- Calculated formation energy: 59.8 meV per atom
- ΔE to the lowest computed polymorph: 0.1724 eV/atom
- D(E_F): 4.973 states/eV/cell
- Crystal system: triclinic